[1]
NiSnOs3 | PBE | optimized geometry

```
5
Lattice="4.4755 0.0000 0.0000 0.0000 4.4755 0.0000 0.0000 0.0000 4.4755" Properties=species:S:1:pos:R:3 pbc="T T T"
Os 2.2377 0.0000 0.0000
Os 0.0000 2.2377 0.0000
Os 0.0000 0.0000 2.2377
Ni 0.0000 0.0000 0.0000
Sn 2.2377 2.2377 2.2377
```

Calculated values
magnetic moment: 2.8 μB/cell
N(E_F): 1.545 states/eV/atom
V: 17.93 A^3/atom
uncorrected energy: -34.9 eV for the cell shown
E_form: 1708 meV per atom
relative energy among the computed polymorphs: 0 meV per atom

***

[2]
NiSnOs2 | PBE | optimized geometry

```
8
Lattice="3.9012 0.0000 0.0000 0.0000 3.9012 0.0000 1.9506 1.9506 9.0590" Properties=species:S:1:pos:R:3 pbc="T T T"
Sn 0.0000 0.0000 0.0000
Sn 3.9012 1.9506 4.5295
Os 2.9259 3.2080 6.7942
Os 4.8765 4.5943 6.7942
Os 2.6437 0.9753 2.2647
Os 1.2574 2.9259 2.2647
Ni 1.9506 3.9012 4.5295
Ni 1.9506 1.9506 0.0000
```

Calculated values
magnetic moment: 0.0 μB/cell
N(E_F): 0.705 states/eV/atom
V: 17.23 A^3/atom
uncorrected energy: -59.6 eV for the cell shown
E_form: 607 meV per atom

***

[3]
Ni2SnOs | PBE | optimized geometry

```
8
Lattice="-2.3564 -1.4052 -2.6580 2.9508 -0.4336 -2.3868 1.6131 -8.9686 0.5665" Properties=species:S:1:pos:R:3 pbc="T T T"
Sn 2.4305 -5.1608 -2.1714
Sn 0.2972 -0.9194 -2.5224
Ni 2.0407 -2.6365 -1.5834
Ni 1.8398 -8.3515 -4.0782
Ni 1.3228 -7.3999 -1.3781
Ni -0.7884 -3.2269 -1.9169
Os -0.2231 -5.6466 -2.3069
Os 0.0000 0.0000 0.0000
```

Calculated values
magnetic moment: 0.0 μB/cell
N(E_F): 1.292 states/eV/atom
V: 15.91 A^3/atom
uncorrected energy: -48.7 eV for the cell shown
E_form: 607 meV per atom

***

[4]
TlNi2SnOs | PBE | optimized geometry

```
5
Lattice="-3.8995 0.3188 -2.4780 2.6119 -0.7166 -4.2024 -0.6231 -4.5723 0.3924" Properties=species:S:1:pos:R:3 pbc="T T T"
Tl -0.9554 -2.4851 -3.1440
Ni -0.3116 -2.2862 0.1962
Ni -1.9498 0.1594 -1.2390
Sn 0.0000 0.0000 0.0000
Os 1.3060 -0.3583 -2.1012
```

Calculated values
magnetic moment: 0.9 μB/cell
N(E_F): 0.527 states/eV/atom
V: 21.45 A^3/atom
uncorrected energy: -22.5 eV for the cell shown
E_form: 1332 meV per atom

***

[5]
NiSn2OsW | PBE | optimized geometry

```
5
Lattice="5.1902 0.0000 0.0000 0.0000 4.4731 0.0000 0.0000 0.0000 5.1902" Properties=species:S:1:pos:R:3 pbc="T T T"
Os 2.5951 2.2365 2.5951
Ni 0.0000 2.2365 0.0000
Sn 2.5951 0.0000 0.0000
Sn 0.0000 0.0000 2.5951
W 0.0000 0.0000 0.0000
```

Calculated values
magnetic moment: 2.7 μB/cell
N(E_F): 1.479 states/eV/atom
V: 24.10 A^3/atom
uncorrected energy: -28.7 eV for the cell shown
E_form: 1845 meV per atom

***

[6]
ZnNiSn2Os | PBE | optimized geometry

```
5
Lattice="4.7714 0.0000 0.0000 0.0000 4.4264 0.0000 0.0000 0.0000 4.7714" Properties=species:S:1:pos:R:3 pbc="T T T"
Ni 0.0000 0.0000 0.0000
Zn 0.0000 2.2132 0.0000
Sn 0.0000 0.0000 2.3857
Sn 2.3857 0.0000 0.0000
Os 2.3857 2.2132 2.3857
```

Calculated values
magnetic moment: 1.1 μB/cell
N(E_F): 0.960 states/eV/atom
V: 20.15 A^3/atom
uncorrected energy: -21.9 eV for the cell shown
E_form: 880 meV per atom

***

[7]
Sr2NiOs | PBE | optimized geometry

```
4
Lattice="-2.9291 -2.0589 2.3512 2.7133 0.5598 3.8704 -1.0475 4.8668 2.9568" Properties=species:S:1:pos:R:3 pbc="T T T"
Sr 1.6967 5.0094 6.5004
Sr -1.0790 0.7450 3.2098
Ni 1.2342 3.0230 4.1847
Os -0.6165 2.7302 5.5244
```

Calculated values
magnetic moment: 0.0 μB/cell
N(E_F): 0.713 states/eV/atom
V: 26.90 A^3/atom
uncorrected energy: -19.4 eV for the cell shown
E_form: 253 meV per atom
relative energy among the computed polymorphs: 0 meV per atom

***

[8]
Sr4NiOs | PBE | optimized geometry

```
6
Lattice="-3.2053 -5.5227 -0.1959 -6.3617 -0.0234 0.5831 -3.6649 -1.3889 -5.0449" Properties=species:S:1:pos:R:3 pbc="T T T"
Sr -4.9519 -2.5953 -1.7431
Sr -6.7955 -3.2940 -4.2810
Sr -6.5643 -5.3735 -1.8417
Sr -8.1521 -2.6071 -1.4498
Os 0.0000 0.0000 0.0000
Ni -9.9239 -5.2012 -3.4934
```

Calculated values
magnetic moment: 0.2 μB/cell
N(E_F): 1.418 states/eV/atom
V: 30.73 A^3/atom
uncorrected energy: -14.9 eV for the cell shown
E_form: 1477 meV per atom

***

[9]
Sr2NiOs | PBE | optimized geometry

```
4
Lattice="-4.2488 -1.5040 -2.4384 -3.9968 3.1840 -0.3843 -1.2137 2.0527 -4.5358" Properties=species:S:1:pos:R:3 pbc="T T T"
Os -4.7297 1.8663 -3.6793
Sr -2.3648 0.9332 -1.8396
Sr -7.0945 2.7995 -5.5189
Ni 0.0000 0.0000 0.0000
```

Calculated values
magnetic moment: 0.5 μB/cell
N(E_F): 1.065 states/eV/atom
V: 23.79 A^3/atom
uncorrected energy: -17.3 eV for the cell shown
E_form: 772 meV per atom
relative energy among the computed polymorphs: 519 meV per atom

***

[10]
SrNiOs3 | PBE | optimized geometry

```
5
Lattice="4.5854 0.0000 0.0000 0.0000 4.5854 0.0000 0.0000 0.0000 4.5854" Properties=species:S:1:pos:R:3 pbc="T T T"
Os 0.0000 2.2927 0.0000
Os 0.0000 0.0000 2.2927
Os 2.2927 0.0000 0.0000
Ni 0.0000 0.0000 0.0000
Sr 2.2927 2.2927 2.2927
```

Calculated values
magnetic moment: 0.0 μB/cell
N(E_F): 1.929 states/eV/atom
V: 19.28 A^3/atom
uncorrected energy: -33.5 eV for the cell shown
E_form: 1536 meV per atom
relative energy among the computed polymorphs: 0 meV per atom

***

[11]
SrNiOs2 | PBE | optimized geometry

```
4
Lattice="-1.4778 -4.4679 -0.7486 -0.0050 -0.6284 3.7607 -3.6249 1.1671 0.1902" Properties=species:S:1:pos:R:3 pbc="T T T"
Sr -0.7414 -2.5482 1.5061
Os -1.8149 0.2694 1.9755
Os 0.0000 0.0000 0.0000
Ni -2.5514 -1.6504 -0.2792
```

Calculated values
magnetic moment: 0.0 μB/cell
N(E_F): 1.371 states/eV/atom
V: 17.32 A^3/atom
uncorrected energy: -26.1 eV for the cell shown
E_form: 968 meV per atom
relative energy among the computed polymorphs: 797 meV per atom

***

[12]
Sr2NiOs2 | PBE | optimized geometry

```
10
Lattice="-3.8894 8.2131 -1.3313 -7.4107 -2.7515 4.6760 1.2106 0.9776 2.4939" Properties=species:S:1:pos:R:3 pbc="T T T"
Sr -4.1653 5.1798 -0.0084
Sr -8.2868 4.6827 2.1872
Sr -3.0134 0.7789 1.1575
Sr -7.1349 0.2818 3.3531
Os -8.4435 2.7986 4.7342
Os -4.0840 -0.4114 3.8762
Os -6.0055 6.8505 1.9624
Os -1.6460 3.6406 1.1044
Ni -5.6501 2.7308 1.6723
Ni 0.0000 0.0000 0.0000
```

Calculated values
magnetic moment: 2.5 μB/cell
N(E_F): 0.808 states/eV/atom
V: 24.80 A^3/atom
uncorrected energy: -51.3 eV for the cell shown
E_form: 1189 meV per atom
relative energy among the computed polymorphs: 672 meV per atom